[1]
The following is a PBE calculation of crystalline TlCo2Pb at its relaxed geometry, from Alexandria.

```
data_TlCo2Pb
_chemical_formula_sum 'Tl1 Co2 Pb1'
_cell_length_a 3.873
_cell_length_b 4.007
_cell_length_c 5.240
_cell_angle_alpha 90.00
_cell_angle_beta 111.61
_cell_angle_gamma 90.00
_symmetry_space_group_name_H-M 'P 1 m 1'
_symmetry_Int_Tables_number 6
loop_
_symmetry_equiv_pos_as_xyz
'x,y,z'
'x,-y,z'
loop_
_atom_site_label
_atom_site_fract_x
_atom_site_fract_y
_atom_site_fract_z
Tl1 0.000 0.000 0.000
Co1 0.591 0.500 0.182
Co2 0.708 0.000 0.417
Pb1 0.298 0.500 0.598
```

N(E_F) in states/eV/cell: 4.801
Mass density in Mg/m³: 11.63
Formation energy from the elements in eV per atom: 0.431

***

[2]
The following is a PBE calculation of crystalline Tb3Ce2YSb6 at its relaxed geometry, from Alexandria.

```
data_Tb3Ce2YSb6
_chemical_formula_sum 'Tb6 Ce4 Y2 Sb12'
_cell_length_a 19.314
_cell_length_b 4.433
_cell_length_c 8.869
_cell_angle_alpha 90.00
_cell_angle_beta 103.36
_cell_angle_gamma 90.00
_symmetry_space_group_name_H-M 'C 1 2/m 1'
_symmetry_Int_Tables_number 12
loop_
_symmetry_equiv_pos_as_xyz
'x,y,z'
'-x,-y,-z'
'-x,y,-z'
'x,-y,z'
'x+1/2,y+1/2,z'
'-x+1/2,-y+1/2,-z'
'-x+1/2,y+1/2,-z'
'x+1/2,-y+1/2,z'
loop_
_atom_site_label
_atom_site_fract_x
_atom_site_fract_y
_atom_site_fract_z
Tb1 0.000 0.000 0.000
Tb2 0.167 0.500 0.334
Ce1 0.166 0.500 0.832
Y1 0.000 0.000 0.500
Sb1 0.001 0.500 0.251
Sb2 0.166 0.000 0.086
Sb3 0.166 0.000 0.580
```

N(E_F) in states/eV/cell: 28.514
ΔE_f (raw) in eV per atom: -1.117
Mass density in Mg/m³: 7.09

***

[3]
The following is a PBE calculation of crystalline TlHgSb at its relaxed geometry, from Alexandria.

```
data_TlHgSb
_chemical_formula_sum 'Tl4 Hg4 Sb4'
_cell_length_a 7.327
_cell_length_b 7.327
_cell_length_c 7.327
_cell_angle_alpha 90.00
_cell_angle_beta 90.00
_cell_angle_gamma 90.00
_symmetry_space_group_name_H-M 'F -4 3 m'
_symmetry_Int_Tables_number 216
_symmetry_space_group_name_Hall 'F -4 2 3'
loop_
_atom_site_label
_atom_site_fract_x
_atom_site_fract_y
_atom_site_fract_z
Tl1 0.000 0.000 0.000
Hg1 0.000 0.000 0.500
Sb1 0.250 0.250 0.750
```

N(E_F) in states/eV/cell: 8.154
ΔE_f (raw) in eV per atom: 0.064
Mass density in Mg/m³: 8.89